# 1
! LaNd2Zn2Si4Au2 PBE optimized geometry; values from VASP
&SYSTEM
  ibrav = 0, nat = 11, ntyp = 5
/
ATOMIC_SPECIES
Au 196.97 Au.upf
La 138.91 La.upf
Nd 144.24 Nd.upf
Si 28.09 Si.upf
Zn 65.41 Zn.upf
CELL_PARAMETERS angstrom
12.060 1.456 3.954
9.629 6.940 4.724
-11.657 -4.996 -1.538
ATOMIC_POSITIONS crystal
Au 0.250 0.250 0.000
Au 0.750 0.750 0.000
La 0.000 0.000 0.000
Nd 0.854 0.354 0.500
Nd 0.146 0.646 0.500
Si 0.452 0.452 0.000
Si 0.548 0.548 0.000
Si 0.691 0.191 0.500
Si 0.309 0.809 0.500
Zn 0.595 0.095 0.500
Zn 0.405 0.905 0.500
! Space group = Immm
! Total moment = 0.0003 μB/atom
! V = 227.0 Å³ per cell
! Energy relative to the lowest polymorph listed for this composition = 36 meV per atom

---

# 2
! PmNdAsO PBE optimized geometry; values from VASP
&SYSTEM
  ibrav = 0, nat = 8, ntyp = 4
/
ATOMIC_SPECIES
As 74.92 As.upf
Nd 144.24 Nd.upf
O 16.00 O.upf
Pm 145.00 Pm.upf
CELL_PARAMETERS angstrom
4.304 0.000 0.000
0.000 7.901 0.000
0.000 0.000 6.088
ATOMIC_POSITIONS crystal
As 0.000 0.835 0.431
As 0.000 0.165 0.931
Nd 0.000 0.202 0.437
Nd 0.000 0.798 0.937
O 0.500 0.328 0.378
O 0.500 0.672 0.878
Pm 0.500 0.389 0.008
Pm 0.500 0.611 0.508
! Space group = Pmc2_1
! Total moment = 0.0011 μB/atom
! V = 207.0 Å³ per cell
! Energy relative to the lowest polymorph listed for this composition = 0 meV per atom

---

# 3
! RbHoAlTe3 PBE optimized geometry; values from VASP
&SYSTEM
  ibrav = 0, nat = 12, ntyp = 4
/
ATOMIC_SPECIES
Al 26.98 Al.upf
Ho 164.93 Ho.upf
Rb 85.47 Rb.upf
Te 127.60 Te.upf
CELL_PARAMETERS angstrom
-6.379 -1.028 5.173
5.757 -3.731 -4.631
7.308 0.072 9.026
ATOMIC_POSITIONS crystal
Al 0.982 0.018 0.250
Al 0.018 0.982 0.750
Ho 0.500 0.500 0.000
Ho 0.500 0.500 0.500
Rb 0.249 0.751 0.250
Rb 0.751 0.249 0.750
Te 0.879 0.121 0.063
Te 0.564 0.436 0.250
Te 0.879 0.121 0.437
Te 0.121 0.879 0.563
Te 0.436 0.564 0.750
Te 0.121 0.879 0.937
! Space group = Cmcm
! Total moment = 0.0038 μB/atom
! V = 444.0 Å³ per cell
! Total DFT energy (no corrections) = -48.5 eV per cell